# TaTc2HRh

A relaxed TaTc2HRh crystal (PBE, the Alexandria database).

Properties
* ΔE to the lowest computed polymorph: 0.0 meV per atom
* symmetry: P4/mmm, No. 123

Cell: 3.955 3.955 4.021 Å, 90.00 90.00 90.00°
Fractional coordinates of all 5 atoms:
H: 0.000 0.000 0.000
Tc: 0.500 0.000 0.000
Tc: 0.000 0.500 0.000
Rh: 0.000 0.000 0.500
Ta: 0.500 0.500 0.500

# Y2SO2

A relaxed Y2SO2 crystal (PBE, the Alexandria database).

Properties
* VASP energy: -8.362 eV/atom
* symmetry: C2/m, No. 12

Cell: 4.093 6.427 8.949 Å, 114.86 90.00 108.57°
Fractional coordinates of all 10 atoms:
Y: 0.491 0.982 0.214
Y: 0.164 0.327 0.570
Y: 0.836 0.673 0.430
Y: 0.509 0.018 0.786
S: 0.663 0.327 0.113
S: 0.337 0.673 0.887
O: 0.975 0.950 0.318
O: 0.025 0.050 0.682
O: 0.342 0.683 0.526
O: 0.658 0.317 0.474

# Ca12HgPb4N3

A relaxed Ca12HgPb4N3 crystal (PBE, the Alexandria database).

Properties
* VASP energy: -3.877 eV/atom
* symmetry: Im-3m, No. 229

Cell: 8.881 8.881 8.881 Å, 109.47 109.47 109.47°
Fractional coordinates of all 20 atoms:
Ca: 0.500 0.250 0.750
Ca: 0.717 0.000 0.717
Ca: 0.500 0.750 0.250
Ca: 0.750 0.250 0.500
Ca: 0.000 0.283 0.283
Ca: 0.000 0.717 0.717
Ca: 0.283 0.283 0.000
Ca: 0.283 0.000 0.283
Ca: 0.750 0.500 0.250
Ca: 0.717 0.717 0.000
Ca: 0.250 0.500 0.750
Ca: 0.250 0.750 0.500
Pb: 0.500 0.500 0.500
Pb: 0.000 0.500 0.000
Pb: 0.500 0.000 0.000
Pb: 0.000 0.000 0.500
N: 0.000 0.500 0.500
N: 0.500 0.500 0.000
N: 0.500 0.000 0.500
Hg: 0.000 0.000 0.000

# BaSrCu2

A relaxed BaSrCu2 crystal (PBE, the Alexandria database).

Properties
* energy of formation from the pure elements: 0.3354 eV/atom
* ΔE to the lowest computed polymorph: 382.0 meV per atom
* symmetry: F-43m, No. 216

Cell: 5.252 5.252 5.252 Å, 60.00 60.00 60.00°
Fractional coordinates of all 4 atoms:
Cu: 0.250 0.250 0.250
Cu: 0.000 0.000 0.000
Sr: 0.750 0.750 0.750
Ba: 0.500 0.500 0.500

The evaluated density for the records listed, in turn: 12695, 4016, 4781, 5707 kg/m3.
The evaluated volume for the records listed, in turn: 62.9, 200.0, 539.2, 102.4 Å³/cell.